## Hf2PtPbCl (GGA-PBE)

Data for an optimized crystal structure of Hf2PtPbCl.

Structure (POSCAR):
```
Hf2PtPbCl
1.0
5.4429 0.0000 0.0000
0.0000 5.0424 0.0000
0.0000 0.0000 5.4429
Pb Hf Pt Cl
1 2 1 1
Direct
0.0000 0.0000 0.0000
0.0000 0.0000 0.5000
0.5000 0.0000 0.0000
0.5000 0.5000 0.5000
0.0000 0.5000 0.0000
```

Properties
Magnetization in μB per atom: 0.000
Formation energy from raw total energies in meV/atom: 1355
Theoretical density in kg/m³: 8834


## YSnP2O8 (GGA-PBE)

Data for an optimized crystal structure of YSnP2O8.

Structure (POSCAR):
```
YSnP2O8
1.0
4.9529 0.0000 0.0000
2.4765 4.2894 0.0000
2.4765 1.4298 7.2401
Y Sn P O
1 1 2 8
Direct
0.0000 0.0000 0.0000
0.5000 0.5000 0.5000
0.2460 0.2460 0.2620
0.7540 0.7540 0.7380
0.1743 0.1743 0.4772
0.5570 0.2847 0.1939
0.8257 0.8257 0.5228
0.9644 0.5570 0.1939
0.0356 0.4430 0.8061
0.2847 0.9644 0.1939
0.7153 0.0356 0.8061
0.4430 0.7153 0.8061
```

Properties
Magnetization in μB per atom: 0.000
Formation energy from raw total energies in meV/atom: -2204
Theoretical density in kg/m³: 4292


## K4Np3BiS8 (GGA-PBE)

Data for an optimized crystal structure of K4Np3BiS8.

Structure (POSCAR):
```
K4Np3BiS8
1.0
-6.8357 0.5759 -4.5691
4.4254 -2.9087 -6.9874
0.0259 -4.6421 6.8103
K Np Bi S
4 3 1 8
Direct
0.5000 0.0000 0.0000
0.5000 0.0000 0.5000
0.0000 0.0000 0.0000
0.0000 0.0000 0.5000
0.5000 0.5000 0.0000
0.5000 0.5000 0.5000
0.0000 0.5000 0.5000
0.0000 0.5000 0.0000
0.2390 0.7051 0.9661
0.2390 0.7051 0.4781
0.2672 0.3016 0.5344
0.7271 0.7051 0.9661
0.2729 0.2949 0.0339
0.7328 0.6984 0.4656
0.7610 0.2949 0.5219
0.7610 0.2949 0.0339
```

Properties
Magnetization in μB per atom: 0.750
Formation energy from raw total energies in meV/atom: -1239
Theoretical density in kg/m³: 5109


## CaPm8Ho4 (GGA-PBE)

Data for an optimized crystal structure of CaPm8Ho4.

Structure (POSCAR):
```
CaPm8Ho4
1.0
5.0200 0.0000 1.0873
2.0258 5.2483 2.7792
-0.9577 0.3064 16.5532
Ca Pm Ho
1 8 4
Direct
0.5157 0.0017 0.9669
0.0555 0.5363 0.3527
0.4395 0.9196 0.2013
0.5919 0.0838 0.7325
0.9759 0.4671 0.5811
0.7498 0.2234 0.2769
0.2089 0.6961 0.8862
0.2816 0.7800 0.6569
0.8226 0.3073 0.0475
0.3637 0.8431 0.4295
0.8945 0.4037 0.8074
0.1370 0.5997 0.1264
0.6677 0.1602 0.5043
```

Properties
Magnetization in μB per atom: 0.000
Calculated formation energy in eV/atom: 0.04
Theoretical density in kg/m³: 7051


## CsBa2PrI8 (GGA-PBE)

Data for an optimized crystal structure of CsBa2PrI8.

Structure (POSCAR):
```
CsBa2PrI8
1.0
8.0485 -0.0354 -0.0040
0.0072 7.7735 -0.0052
0.0083 0.0163 10.7454
Cs Ba Pr I
1 2 1 8
Direct
0.0000 0.0000 0.5000
0.5000 0.4999 0.7520
0.5000 0.5001 0.2480
0.0000 0.0000 0.0000
0.1503 0.7612 0.2070
0.6729 0.7577 0.9998
0.8491 0.2382 0.2068
0.8497 0.2388 0.7930
0.3271 0.2423 0.0002
0.1509 0.7618 0.7932
0.6068 0.7442 0.4999
0.3932 0.2558 0.5001
```

Properties
Magnetization in μB per atom: 0.000
Formation energy from raw total energies in meV/atom: -1587
Theoretical density in kg/m³: 3862


## NaYInPd (GGA-PBE)

Data for an optimized crystal structure of NaYInPd.

Structure (POSCAR):
```
NaYInPd
1.0
4.9494 0.0000 0.0000
2.4747 4.2863 0.0000
2.4747 1.4288 4.0412
Y Na Pd In
1 1 1 1
Direct
0.0000 0.0000 0.0000
0.7500 0.7500 0.7500
0.2500 0.2500 0.2500
0.5000 0.5000 0.5000
```

Properties
Magnetization in μB per atom: 0.000
Calculated formation energy in eV/atom: -0.40
Theoretical density in kg/m³: 6452